DFT (PBE) results for LaYHfN3 after structural relaxation.

Output
Raw total energy = -9.0275 eV/atom

```
data_LaYHfN3
_chemical_formula_sum 'La2 Y2 Hf2 N6'
_cell_length_a 6.678
_cell_length_b 3.418
_cell_length_c 9.804
_cell_angle_alpha 90.00
_cell_angle_beta 93.66
_cell_angle_gamma 90.00
_space_group_name_H-M_alt 'P 1 21/m 1'
_space_group_IT_number 11
loop_
_space_group_symop_operation_xyz
'x,y,z'
'-x,-y,-z'
'-x,y+1/2,-z'
'x,-y+1/2,z'
loop_
_atom_site_label
_atom_site_fract_x
_atom_site_fract_y
_atom_site_fract_z
_atom_site_occupancy
La1 0.179 0.250 0.224 1
Y1 0.351 0.750 0.882 1
Hf1 0.170 0.250 0.579 1
N1 0.137 0.250 0.788 1
N2 0.150 0.750 0.454 1
N3 0.376 0.750 0.115 1
```